First-principles (PBE) data for a geometry-optimized AgAsC4S8N4F6 structure, as listed in Alexandria.

**Energy relative to the elements, uncorrected**: -980 kJ/mol of formula units
**Magnetic moment**: 0.0 μB/cell
**Calculated density**: 2.1 g cm⁻³

Cell lengths 8.932, 8.932, 6.567 Å; angles 90.00, 90.00, 90.00 degrees
Space group P-4 (No. 81)
Asymmetric unit:
1 Ag 0.000 0.000 0.000
2 As 0.500 0.500 0.000
3 C 0.108 0.731 0.332
4 S 0.032 0.607 0.726
5 S 0.205 0.634 0.506
6 N 0.047 0.804 0.208
7 F 0.332 0.393 0.998
8 F 0.500 0.500 0.271



First-principles (PBE) data for a geometry-optimized Hf2AgAsC structure, as listed in Alexandria.

**Magnetic moment**: 0.0 μB/cell
**Calculated density**: 9.0 g cm⁻³
**Formation enthalpy at 0 K**: 1.21 eV/atom

Cell lengths 5.198, 5.198, 3.757 Å; angles 90.00, 90.00, 90.00 degrees
Space group P4/mmm (No. 123)
Asymmetric unit:
1 Hf 0.000 0.500 0.000
2 Ag 0.000 0.000 0.000
3 As 0.500 0.500 0.500
4 C 0.000 0.000 0.500



First-principles (PBE) data for a geometry-optimized AgHg2AsC structure, as listed in Alexandria.

**Magnetic moment**: 0.0 μB/cell
**Calculated density**: 9.7 g cm⁻³
**Formation enthalpy at 0 K**: 1.10 eV/atom

Cell lengths 4.383, 4.383, 5.293 Å; angles 90.00, 90.00, 90.00 degrees
Space group P4/mmm (No. 123)
Asymmetric unit:
1 Ag 0.000 0.000 0.000
2 Hg 0.000 0.500 0.500
3 As 0.500 0.500 0.000
4 C 0.500 0.500 0.500



First-principles (PBE) data for a geometry-optimized LaAgAs2C structure, as listed in Alexandria.

**Magnetic moment**: 0.0 μB/cell
**Calculated density**: 7.0 g cm⁻³
**Formation enthalpy at 0 K**: 0.28 eV/atom

Cell lengths 4.795, 4.795, 4.217 Å; angles 90.00, 90.00, 90.00 degrees
Space group P4/mmm (No. 123)
Asymmetric unit:
1 La 0.000 0.000 0.000
2 Ag 0.500 0.500 0.000
3 As 0.000 0.500 0.500
4 C 0.500 0.500 0.500



First-principles (PBE) data for a geometry-optimized Mg2AgAsC structure, as listed in Alexandria.

**Magnetic moment**: 2.0 μB/cell
**Calculated density**: 3.3 g cm⁻³
**Formation enthalpy at 0 K**: 1.21 eV/atom

Cell lengths 5.002, 5.002, 4.873 Å; angles 90.00, 90.00, 90.00 degrees
Space group P4/mmm (No. 123)
Asymmetric unit:
1 Mg 0.000 0.500 0.000
2 Ag 0.000 0.000 0.500
3 As 0.000 0.000 0.000
4 C 0.500 0.500 0.500



First-principles (PBE) data for a geometry-optimized RbAg2AsC structure, as listed in Alexandria.

**Magnetic moment**: 1.8 μB/cell
**Calculated density**: 4.2 g cm⁻³
**Formation enthalpy at 0 K**: 2.35 eV/atom

Cell lengths 5.730, 5.730, 4.694 Å; angles 90.00, 90.00, 90.00 degrees
Space group P4/mmm (No. 123)
Asymmetric unit:
1 Rb 0.000 0.000 0.000
2 Ag 0.000 0.500 0.000
3 As 0.500 0.500 0.500
4 C 0.000 0.000 0.500



First-principles (PBE) data for a geometry-optimized AgAsCSe2 structure, as listed in Alexandria.

**Energy relative to the elements, uncorrected**: 528 kJ/mol of formula units
**Magnetic moment**: 0.0 μB/cell
**Excess energy over the best structure of this formula in the dataset**: 0.000 eV per atom
**Calculated density**: 6.6 g cm⁻³

Cell lengths 4.573, 4.573, 4.268 Å; angles 90.00, 90.00, 90.00 degrees
Space group P4/mmm (No. 123)
Asymmetric unit:
1 Ag 0.000 0.000 0.000
2 As 0.500 0.500 0.000
3 C 0.500 0.500 0.500
4 Se 0.000 0.500 0.500



First-principles (PBE) data for a geometry-optimized AgAsCSe2 structure, as listed in Alexandria.

**Energy relative to the elements, uncorrected**: 1008 kJ/mol of formula units
**Magnetic moment**: 0.3 μB/cell
**Excess energy over the best structure of this formula in the dataset**: 0.995 eV per atom
**Calculated density**: 4.5 g cm⁻³

Cell lengths 5.097, 5.097, 4.971 Å; angles 90.00, 90.00, 90.00 degrees
Space group P4/mmm (No. 123)
Asymmetric unit:
1 Ag 0.000 0.000 0.000
2 As 0.000 0.000 0.500
3 C 0.500 0.500 0.500
4 Se 0.000 0.500 0.000



First-principles (PBE) data for a geometry-optimized AgAs2CSe structure, as listed in Alexandria.

**Energy relative to the elements, uncorrected**: 1040 kJ/mol of formula units
**Magnetic moment**: 0.6 μB/cell
**Excess energy over the best structure of this formula in the dataset**: 1.079 eV per atom
**Calculated density**: 4.6 g cm⁻³

Cell lengths 4.998, 4.998, 5.081 Å; angles 90.00, 90.00, 90.00 degrees
Space group P4/mmm (No. 123)
Asymmetric unit:
1 Ag 0.000 0.000 0.000
2 As 0.000 0.500 0.000
3 C 0.500 0.500 0.500
4 Se 0.000 0.000 0.500



First-principles (PBE) data for a geometry-optimized AgAs2CSe structure, as listed in Alexandria.

**Energy relative to the elements, uncorrected**: 520 kJ/mol of formula units
**Magnetic moment**: 0.0 μB/cell
**Excess energy over the best structure of this formula in the dataset**: 0.000 eV per atom
**Calculated density**: 6.7 g cm⁻³

Cell lengths 4.385, 4.385, 4.522 Å; angles 90.00, 90.00, 90.00 degrees
Space group P4/mmm (No. 123)
Asymmetric unit:
1 Ag 0.000 0.000 0.000
2 As 0.000 0.500 0.500
3 C 0.500 0.500 0.500
4 Se 0.500 0.500 0.000



First-principles (PBE) data for a geometry-optimized SiAgAsC2 structure, as listed in Alexandria.

**Energy relative to the elements, uncorrected**: 1179 kJ/mol of formula units
**Magnetic moment**: 0.2 μB/cell
**Calculated density**: 4.6 g cm⁻³

Cell lengths 4.006, 4.006, 5.300 Å; angles 90.00, 90.00, 90.00 degrees
Space group P4/mmm (No. 123)
Asymmetric unit:
1 Si 0.000 0.000 0.000
2 Ag 0.000 0.000 0.500
3 As 0.500 0.500 0.000
4 C 0.000 0.500 0.500



First-principles (PBE) data for a geometry-optimized TaAgAs2C structure, as listed in Alexandria.

**Magnetic moment**: 0.0 μB/cell
**Calculated density**: 8.8 g cm⁻³
**Formation enthalpy at 0 K**: 0.79 eV/atom

Cell lengths 4.497, 4.497, 4.191 Å; angles 90.00, 90.00, 90.00 degrees
Space group P4/mmm (No. 123)
Asymmetric unit:
1 Ta 0.000 0.000 0.000
2 Ag 0.500 0.500 0.000
3 As 0.000 0.500 0.500
4 C 0.000 0.000 0.500



First-principles (PBE) data for a geometry-optimized TlAgAs2C structure, as listed in Alexandria.

**Magnetic moment**: 0.0 μB/cell
**Calculated density**: 8.1 g cm⁻³
**Formation enthalpy at 0 K**: 1.07 eV/atom

Cell lengths 4.450, 4.450, 4.935 Å; angles 90.00, 90.00, 90.00 degrees
Space group P4/mmm (No. 123)
Asymmetric unit:
1 Tl 0.000 0.000 0.000
2 Ag 0.500 0.500 0.000
3 As 0.000 0.500 0.500
4 C 0.000 0.000 0.500



First-principles (PBE) data for a geometry-optimized Y2AgAsC structure, as listed in Alexandria.

**Magnetic moment**: 0.0 μB/cell
**Calculated density**: 5.3 g cm⁻³
**Formation enthalpy at 0 K**: 0.47 eV/atom

Cell lengths 5.517, 5.517, 3.857 Å; angles 90.00, 90.00, 90.00 degrees
Space group P4/mmm (No. 123)
Asymmetric unit:
1 Y 0.000 0.500 0.000
2 Ag 0.000 0.000 0.000
3 As 0.500 0.500 0.500
4 C 0.000 0.000 0.500



First-principles (PBE) data for a geometry-optimized Ca2Ag2As structure, as listed in Alexandria.

**Magnetic moment**: 0.0 μB/cell
**Excess energy over the best structure of this formula in the dataset**: 0.232 eV per atom
**Calculated density**: 4.6 g cm⁻³
**Formation enthalpy at 0 K**: -0.24 eV/atom

Cell lengths 5.856, 5.856, 7.863 Å; angles 90.00, 90.00, 90.00 degrees
Space group I4/mmm (No. 139)
Asymmetric unit:
1 Ca 0.000 0.500 0.250
2 Ag 0.000 0.000 0.164
3 As 0.000 0.000 0.500



First-principles (PBE) data for a geometry-optimized Ca2Ag2As structure, as listed in Alexandria.

**Magnetic moment**: 0.0 μB/cell
**Excess energy over the best structure of this formula in the dataset**: 0.062 eV per atom
**Calculated density**: 5.1 g cm⁻³
**Formation enthalpy at 0 K**: -0.41 eV/atom

Cell lengths 7.430, 7.430, 4.381 Å; angles 90.00, 90.00, 90.00 degrees
Space group P4/mbm (No. 127)
Asymmetric unit:
1 Ca 0.181 0.319 0.000
2 Ag 0.128 0.628 0.500
3 As 0.000 0.000 0.500



First-principles (PBE) data for a geometry-optimized Ca3AgAs structure, as listed in Alexandria.

**Magnetic moment**: 0.0 μB/cell
**Excess energy over the best structure of this formula in the dataset**: 0.000 eV per atom
**Calculated density**: 2.9 g cm⁻³
**Formation enthalpy at 0 K**: -0.45 eV/atom

Cell lengths 5.579, 5.579, 5.579 Å; angles 90.00, 90.00, 90.00 degrees
Space group Pm-3m (No. 221)
Asymmetric unit:
1 Ca 0.000 0.000 0.500
2 Ag 0.500 0.500 0.500
3 As 0.000 0.000 0.000



First-principles (PBE) data for a geometry-optimized Ca2Ag2As structure, as listed in Alexandria.

**Magnetic moment**: 0.0 μB/cell
**Excess energy over the best structure of this formula in the dataset**: 0.246 eV per atom
**Calculated density**: 4.7 g cm⁻³
**Formation enthalpy at 0 K**: -0.23 eV/atom

Cell lengths 8.005, 8.005, 4.118 Å; angles 90.00, 90.00, 90.00 degrees
Space group P4/mbm (No. 127)
Asymmetric unit:
1 Ca 0.172 0.328 0.000
2 Ag 0.124 0.624 0.500
3 As 0.000 0.000 0.000



First-principles (PBE) data for a geometry-optimized CaAg3As structure, as listed in Alexandria.

**Magnetic moment**: 0.0 μB/cell
**Excess energy over the best structure of this formula in the dataset**: 0.000 eV per atom
**Calculated density**: 5.7 g cm⁻³
**Formation enthalpy at 0 K**: 0.07 eV/atom

Cell lengths 5.025, 5.025, 5.025 Å; angles 90.00, 90.00, 90.00 degrees
Space group Pm-3m (No. 221)
Asymmetric unit:
1 Ca 0.000 0.000 0.000
2 Ag 0.000 0.500 0.500
3 As 0.500 0.500 0.500



First-principles (PBE) data for a geometry-optimized Ca2Ag2As structure, as listed in Alexandria.

**Magnetic moment**: 0.0 μB/cell
**Excess energy over the best structure of this formula in the dataset**: 0.000 eV per atom
**Calculated density**: 4.9 g cm⁻³
**Formation enthalpy at 0 K**: -0.47 eV/atom

Cell lengths 3.837, 3.837, 16.975 Å; angles 90.00, 90.00, 90.00 degrees
Space group I4/mmm (No. 139)
Asymmetric unit:
1 Ca 0.000 0.000 0.094
2 Ag 0.000 0.500 0.250
3 As 0.000 0.000 0.500



First-principles (PBE) data for a geometry-optimized CaAg3As3 structure, as listed in Alexandria.

**Magnetic moment**: 0.0 μB/cell
**Calculated density**: 5.3 g cm⁻³
**Formation enthalpy at 0 K**: 0.12 eV/atom

Cell lengths 7.174, 7.174, 7.174 Å; angles 90.00, 90.00, 90.00 degrees
Space group Pm-3n (No. 223)
Asymmetric unit:
1 Ca 0.000 0.000 0.000
2 Ag 0.000 0.250 0.500
3 As 0.000 0.500 0.250



First-principles (PBE) data for a geometry-optimized CaAg3As structure, as listed in Alexandria.

**Magnetic moment**: 0.0 μB/cell
**Excess energy over the best structure of this formula in the dataset**: 1.006 eV per atom
**Calculated density**: 5.0 g cm⁻³
**Formation enthalpy at 0 K**: 1.07 eV/atom

Cell lengths 5.253, 5.253, 5.253 Å; angles 90.00, 90.00, 90.00 degrees
Space group Pm-3m (No. 221)
Asymmetric unit:
1 Ca 0.000 0.000 0.000
2 Ag 0.000 0.000 0.500
3 As 0.500 0.500 0.500



First-principles (PBE) data for a geometry-optimized CaAg2As2 structure, as listed in Alexandria.

**Magnetic moment**: 0.0 μB/cell
**Excess energy over the best structure of this formula in the dataset**: 0.000 eV per atom
**Calculated density**: 6.2 g cm⁻³
**Formation enthalpy at 0 K**: -0.39 eV/atom

Cell lengths 4.247, 4.247, 11.998 Å; angles 90.00, 90.00, 90.00 degrees
Space group I4/mmm (No. 139)
Asymmetric unit:
1 Ca 0.000 0.000 0.000
2 Ag 0.000 0.500 0.250
3 As 0.000 0.000 0.393



First-principles (PBE) data for a geometry-optimized CaAg2As2 structure, as listed in Alexandria.

**Magnetic moment**: 0.0 μB/cell
**Excess energy over the best structure of this formula in the dataset**: 0.191 eV per atom
**Calculated density**: 6.4 g cm⁻³
**Formation enthalpy at 0 K**: -0.20 eV/atom

Cell lengths 7.944, 7.944, 3.313 Å; angles 90.00, 90.00, 90.00 degrees
Space group P4/mbm (No. 127)
Asymmetric unit:
1 Ca 0.000 0.000 0.000
2 Ag 0.122 0.378 0.000
3 As 0.183 0.683 0.500



First-principles (PBE) data for a geometry-optimized CaCd2AgAs structure, as listed in Alexandria.

**Magnetic moment**: 0.0 μB/cell
**Calculated density**: 5.1 g cm⁻³
**Formation enthalpy at 0 K**: 0.12 eV/atom

Cell lengths 5.381, 5.381, 4.988 Å; angles 90.00, 90.00, 90.00 degrees
Space group P4/mmm (No. 123)
Asymmetric unit:
1 Ca 0.000 0.000 0.000
2 Cd 0.000 0.500 0.500
3 Ag 0.500 0.500 0.000
4 As 0.500 0.500 0.500



First-principles (PBE) data for a geometry-optimized Ca2Cu4AgAs3 structure, as listed in Alexandria.

**Magnetic moment**: 0.0 μB/cell
**Calculated density**: 6.1 g cm⁻³
**Formation enthalpy at 0 K**: -0.45 eV/atom

Cell lengths 4.132, 4.132, 10.618 Å; angles 90.00, 90.00, 90.00 degrees
Space group P-4m2 (No. 115)
Asymmetric unit:
1 Ca 0.000 0.500 0.238
2 Cu 0.000 0.000 0.000
3 Cu 0.000 0.500 0.644
4 Cu 0.500 0.500 0.000
5 Ag 0.000 0.000 0.500
6 As 0.000 0.500 0.866
7 As 0.500 0.500 0.500